# 1
{"formula": "H2W", "functional": "GGA-PBE", "state": "optimized geometry", "cell": [[2.937, 0.000, 0.000], [0.000, 2.937, 0.000], [-1.468, -1.468, 2.417]], "species": ["H", "H", "W"], "fractional_positions": [[0.632, 0.632, 0.264], [0.368, 0.368, 0.736], [0.000, 0.000, 0.000]], "total_energy_ev_per_atom": -6.008, "mass_density_g_cm3": 14.81, "volume_a3_per_atom": 6.9, "sg": "I4/mmm, No. 139", "relative_energy_ev_per_fu": 0.82, "crystal_system": "tetragonal"}

***

# 2
{"formula": "HW", "functional": "GGA-PBE", "state": "optimized geometry", "cell": [[5.550, 0.000, 0.000], [0.000, 5.550, 0.000], [0.000, 0.000, 5.550]], "species": ["H", "H", "H", "H", "H", "H", "H", "H", "W", "W", "W", "W", "W", "W", "W", "W"], "fractional_positions": [[0.117, 0.117, 0.117], [0.117, 0.883, 0.883], [0.883, 0.117, 0.883], [0.883, 0.883, 0.117], [0.617, 0.617, 0.617], [0.617, 0.383, 0.383], [0.383, 0.617, 0.383], [0.383, 0.383, 0.617], [0.297, 0.297, 0.297], [0.297, 0.703, 0.703], [0.703, 0.297, 0.703], [0.703, 0.703, 0.297], [0.797, 0.797, 0.797], [0.797, 0.203, 0.203], [0.203, 0.797, 0.203], [0.203, 0.203, 0.797]], "total_energy_ev_per_atom": -7.303, "mass_density_g_cm3": 14.36, "volume_a3_per_atom": 10.7, "sg": "I-43m, No. 217", "relative_energy_ev_per_fu": 1.42, "crystal_system": "cubic"}

***

# 3
{"formula": "YH2W", "functional": "GGA-PBE", "state": "optimized geometry", "cell": [[5.125, 0.000, 0.000], [0.000, 5.125, 0.000], [2.563, 2.563, 3.618]], "species": ["Y", "Y", "H", "H", "H", "H", "W", "W"], "fractional_positions": [[0.500, 0.500, 0.000], [0.250, 0.750, 0.500], [0.679, 0.125, 0.250], [0.071, 0.625, 0.250], [0.375, 0.321, 0.750], [0.875, 0.929, 0.750], [0.000, 0.000, 0.000], [0.750, 0.250, 0.500]], "total_energy_ev_per_atom": -6.505, "mass_density_g_cm3": 9.60, "volume_a3_per_atom": 11.9, "sg": "I-42d, No. 122", "relative_energy_ev_per_fu": 0.00, "crystal_system": "tetragonal"}

***

# 4
{"formula": "YH2W", "functional": "GGA-PBE", "state": "optimized geometry", "cell": [[-2.613, -1.956, 2.509], [-3.766, 1.530, 0.647], [-3.295, -1.919, -1.550]], "species": ["Y", "H", "H", "W"], "fractional_positions": [[0.000, 0.000, 0.000], [0.250, 0.250, 0.250], [0.750, 0.750, 0.750], [0.500, 0.500, 0.500]], "total_energy_ev_per_atom": -5.771, "mass_density_g_cm3": 9.25, "volume_a3_per_atom": 12.3, "sg": "Fm-3m, No. 225", "relative_energy_ev_per_fu": 2.93, "crystal_system": "cubic"}

***

# 5
{"formula": "Zn3HW", "functional": "GGA-PBE", "state": "optimized geometry", "cell": [[-3.413, -0.057, 1.951], [-1.361, -2.749, -2.460], [1.400, -2.811, 2.367]], "species": ["H", "Zn", "Zn", "Zn", "W"], "fractional_positions": [[0.000, 0.000, 0.000], [0.000, 0.500, 0.000], [0.000, 0.000, 0.500], [0.500, 0.000, 0.000], [0.500, 0.500, 0.500]], "total_energy_ev_per_atom": -3.568, "mass_density_g_cm3": 10.41, "volume_a3_per_atom": 12.2, "sg": "Pm-3m, No. 221", "relative_energy_ev_per_fu": 0.00, "crystal_system": "cubic"}

***

# 6
{"formula": "ZnH2W", "functional": "GGA-PBE", "state": "optimized geometry", "cell": [[-1.430, -2.710, 2.082], [-1.917, 0.830, 3.059], [-3.665, -0.530, 0.089]], "species": ["H", "H", "Zn", "W"], "fractional_positions": [[0.250, 0.250, 0.250], [0.750, 0.750, 0.750], [0.000, 0.000, 0.000], [0.500, 0.500, 0.500]], "total_energy_ev_per_atom": -4.290, "mass_density_g_cm3": 11.61, "volume_a3_per_atom": 9.0, "sg": "Fm-3m, No. 225", "relative_energy_ev_per_fu": 1.95, "crystal_system": "cubic"}